[1]
Compound: Tl2P
Source: Alexandria via LeMat-Bulk
Functional: PBE
Structure: optimized geometry

Summary:
Distance to the lowest polymorph of the same formula, eV/atom: 0.111
N(E_F), states/eV per cell: 2.05
Total moment, μB per cell: 0.000
Symmetry: Cmcm (63)
DFT total energy, eV/atom: -3.2040

```
Tl2P
1.0
4.231 3.314 5.379
-6.020 0.465 -4.621
-3.274 -2.358 4.028
Tl P
4 2
Cartesian
1.443 2.178 4.465
-3.829 -0.012 2.933
-1.234 1.433 1.853
-6.507 -0.756 0.321
0.054 1.068 6.721
-5.118 0.354 -1.935
```

***

[2]
Compound: Re2PRh
Source: Alexandria via LeMat-Bulk
Functional: PBE
Structure: optimized geometry

Summary:
N(E_F), states/eV per cell: 2.13
Total moment, μB per cell: 0.000
Symmetry: P4mm (99)
DFT total energy, eV/atom: -9.5524

```
Re2PRh
1.0
2.857 0.000 0.000
0.000 2.857 0.000
0.000 0.000 6.811
Re Rh P
2 1 1
Cartesian
1.429 1.429 1.628
0.000 0.000 6.594
0.000 0.000 3.640
1.429 1.429 5.164
```

***

[3]
Compound: Ho4Se3N2
Source: Alexandria via LeMat-Bulk
Functional: PBE
Structure: optimized geometry

Summary:
Distance to the lowest polymorph of the same formula, eV/atom: 0.000
N(E_F), states/eV per cell: 0.00
Total moment, μB per cell: 0.000
Symmetry: C2/m (12)
DFT total energy, eV/atom: -6.8864

```
Ho4Se3N2
1.0
3.795 0.000 0.934
1.836 6.634 0.718
0.009 -0.173 8.145
Ho Se N
4 3 2
Cartesian
3.461 4.833 2.291
2.531 5.702 6.071
3.108 0.759 3.726
2.179 1.629 7.506
0.000 0.000 0.000
1.443 2.868 2.315
4.197 3.594 7.482
3.052 6.123 3.955
2.588 0.338 5.842
```